Run 1
NaCu5S4 after structural relaxation, computed with PBE.

## Properties
crystal system: orthorhombic
space-group type: Immm (71)
total magnetic moment: 0.000 μB per atom

Cell: 7.4740 7.4740 7.4740 Å, 151.59 125.14 62.93°
Last column: nearest neighbours and their distance in Å.
Sites, in units of the cell vectors:
Na  0.0000  0.0000  0.0000  6 S 2.71-2.90
Cu  0.0313  0.3253  0.7059  4 S 2.30-2.41
Cu  0.3806  0.6747  0.7059  4 S 2.30-2.41
Cu  0.5000  0.0000  0.5000  4 S 2.33
Cu  0.6194  0.3253  0.2941  4 S 2.30-2.41
Cu  0.9687  0.6747  0.2941  4 S 2.30-2.41
S  0.2273  0.2273  0.0000  6 Cu 2.38-2.41
S  0.2905  0.5000  0.7905  4 Cu 2.30-2.33
S  0.7095  0.5000  0.2095  4 Cu 2.30-2.33
S  0.7727  0.7727  0.0000  6 Cu 2.38-2.41


Run 2
NaCu5S4 after structural relaxation, computed with PBE.

## Properties
crystal system: orthorhombic
space-group type: Pmmn (59)
total magnetic moment: 0.000 μB per atom

Cell: 7.6209 8.8849 5.5632 Å, 90.00 90.00 90.00°
Last column: nearest neighbours and their distance in Å.
Sites, in units of the cell vectors:
Na  0.2500  0.2500  0.2110  4 S 2.69-2.92
Na  0.7500  0.7500  0.7890  4 S 2.69-2.92
Cu  0.0014  0.5817  0.1767  3 S 2.18-2.31
Cu  0.0014  0.9183  0.1767  3 S 2.18-2.31
Cu  0.2500  0.7500  0.6997  4 S 2.26-2.37
Cu  0.4986  0.5817  0.1767  3 S 2.18-2.31
Cu  0.4986  0.9183  0.1767  3 S 2.18-2.31
Cu  0.5014  0.0817  0.8233  3 S 2.18-2.31
Cu  0.5014  0.4183  0.8233  3 S 2.18-2.31
Cu  0.7500  0.2500  0.3003  4 S 2.26-2.37
Cu  0.9986  0.0817  0.8233  3 S 2.18-2.31
Cu  0.9986  0.4183  0.8233  3 S 2.18-2.31
S  0.0096  0.7500  0.4611  3 Cu 2.18-2.26
S  0.2500  0.5350  0.9511  5 Cu 2.29-2.37
S  0.2500  0.9650  0.9511  5 Cu 2.29-2.37
S  0.4904  0.7500  0.4611  3 Cu 2.18-2.26
S  0.5096  0.2500  0.5389  3 Cu 2.18-2.26
S  0.7500  0.0350  0.0489  5 Cu 2.29-2.37
S  0.7500  0.4650  0.0489  5 Cu 2.29-2.37
S  0.9904  0.2500  0.5389  3 Cu 2.18-2.26


Short version: run 1 is the most stable of them.


Run 1
Na3Cu2Sb4 after structural relaxation, computed with PBE.

## Properties
crystal system: monoclinic
space-group type: C2/m (12)
total magnetic moment: 0.000 μB per atom

Cell: 7.9116 7.9116 6.7454 Å, 97.43 97.43 32.99°
Last column: nearest neighbours and their distance in Å.
Sites, in units of the cell vectors:
Na  0.0000  0.0000  0.0000  4 Cu 3.02, 6 Sb 3.02-3.12
Na  0.1388  0.1388  0.5995  2 Cu 3.25, 8 Sb 3.33-3.59, 1 Na 3.64
Na  0.8612  0.8612  0.4005  2 Cu 3.25, 8 Sb 3.33-3.59, 1 Na 3.64
Cu  0.3730  0.3730  0.0560  4 Sb 2.64-2.75
Cu  0.6270  0.6270  0.9440  4 Sb 2.64-2.75
Sb  0.2056  0.2056  0.1257  3 Cu 2.64-2.75
Sb  0.4746  0.4746  0.6986  1 Cu 2.66, 1 Sb 2.89
Sb  0.5254  0.5254  0.3014  1 Cu 2.66, 1 Sb 2.89
Sb  0.7944  0.7944  0.8743  3 Cu 2.64-2.75


Run 2
Na3Cu2Sb4 after structural relaxation, computed with PBE.

## Properties
crystal system: monoclinic
space-group type: C2/m (12)
total magnetic moment: 0.000 μB per atom

Cell: 6.4260 6.4260 8.3924 Å, 95.46 95.46 39.29°
Last column: nearest neighbours and their distance in Å.
Sites, in units of the cell vectors:
Na  0.0000  0.0000  0.0000  6 Sb 3.26-3.33, 4 Na 3.60
Na  0.3901  0.3901  0.2887  3 Cu 2.97-3.20, 3 Sb 3.27-3.30
Na  0.6099  0.6099  0.7113  3 Cu 2.97-3.20, 3 Sb 3.27-3.30
Cu  0.2753  0.2753  0.5852  2 Cu 2.63, 4 Sb 2.64-2.69
Cu  0.7247  0.7247  0.4148  2 Cu 2.63, 4 Sb 2.64-2.69
Sb  0.0917  0.0917  0.3877  3 Cu 2.64-2.69
Sb  0.3018  0.3018  0.9075  1 Cu 2.69, 2 Sb 3.01
Sb  0.6982  0.6982  0.0925  1 Cu 2.69, 2 Sb 3.01
Sb  0.9083  0.9083  0.6123  3 Cu 2.64-2.69


Short version: run 2 is the most stable of them.


Run 1
NaCuSb2 after structural relaxation, computed with PBE.

## Properties
crystal system: tetragonal
space-group type: I-42d (122)
total magnetic moment: 0.000 μB per atom

Cell: 4.9698 4.9698 17.6625 Å, 90.00 90.00 90.00°
Last column: nearest neighbours and their distance in Å.
Sites, in units of the cell vectors:
Na  0.0000  0.0000  0.0000  4 Sb 3.02
Na  0.0000  0.5000  0.2500  4 Sb 3.02
Na  0.5000  0.0000  0.7500  4 Sb 3.02
Na  0.5000  0.5000  0.5000  4 Sb 3.02
Cu  0.0000  0.0000  0.5000  4 Sb 2.67
Cu  0.0000  0.5000  0.7500  4 Sb 2.67
Cu  0.5000  0.0000  0.2500  4 Sb 2.67
Cu  0.5000  0.5000  0.0000  4 Sb 2.67
Sb  0.1676  0.2500  0.6250  2 Cu 2.67
Sb  0.2500  0.6676  0.8750  2 Cu 2.67
Sb  0.2500  0.8324  0.3750  2 Cu 2.67
Sb  0.3324  0.2500  0.1250  2 Cu 2.67
Sb  0.6676  0.7500  0.1250  2 Cu 2.67
Sb  0.7500  0.1676  0.3750  2 Cu 2.67
Sb  0.7500  0.3324  0.8750  2 Cu 2.67
Sb  0.8324  0.7500  0.6250  2 Cu 2.67


Run 2
NaCuSb2 after structural relaxation, computed with PBE.

## Properties
crystal system: monoclinic
space-group type: P2_1/c (14)
total magnetic moment: 0.000 μB per atom

Cell: 9.4606 6.4260 6.5870 Å, 90.00 90.00 90.00°
Last column: nearest neighbours and their distance in Å.
Sites, in units of the cell vectors:
Na  0.1312  0.2019  0.2494  1 Cu 3.13, 5 Sb 3.32-3.50, 2 Na 3.35
Na  0.1312  0.2981  0.7494  1 Cu 3.13, 5 Sb 3.32-3.50, 2 Na 3.35
Na  0.8688  0.7019  0.2506  1 Cu 3.13, 5 Sb 3.32-3.50, 2 Na 3.35
Na  0.8688  0.7981  0.7506  1 Cu 3.13, 5 Sb 3.32-3.50, 2 Na 3.35
Cu  0.3532  0.5631  0.2500  6 Sb 2.66-2.78
Cu  0.3532  0.9369  0.7500  6 Sb 2.66-2.78
Cu  0.6468  0.0631  0.2500  6 Sb 2.66-2.78
Cu  0.6468  0.4369  0.7500  6 Sb 2.66-2.78
Sb  0.1720  0.7498  0.9998  2 Cu 2.66
Sb  0.1720  0.7502  0.4998  2 Cu 2.66
Sb  0.4567  0.2500  0.9999  4 Cu 2.72-2.78
Sb  0.4567  0.2500  0.4999  4 Cu 2.72-2.78
Sb  0.5433  0.7500  0.0001  4 Cu 2.72-2.78
Sb  0.5433  0.7500  0.5001  4 Cu 2.72-2.78
Sb  0.8280  0.2502  0.0002  2 Cu 2.66
Sb  0.8280  0.2498  0.5002  2 Cu 2.66


Run 3
NaCuSb2 after structural relaxation, computed with PBE.

## Properties
crystal system: monoclinic
space-group type: P2_1/m (11)
total magnetic moment: 0.000 μB per atom

Cell: 5.0344 4.2655 9.7259 Å, 90.00 104.16 90.00°
Last column: nearest neighbours and their distance in Å.
Sites, in units of the cell vectors:
Na  0.0141  0.2500  0.2069  5 Sb 3.17-3.42, 2 Cu 3.19
Na  0.9859  0.7500  0.7931  5 Sb 3.17-3.42, 2 Cu 3.19
Cu  0.3065  0.2500  0.6505  5 Sb 2.58-2.87
Cu  0.6935  0.7500  0.3495  5 Sb 2.58-2.87
Sb  0.2471  0.7500  0.4851  4 Cu 2.64-2.87
Sb  0.4306  0.7500  0.0866  1 Cu 2.58
Sb  0.5694  0.2500  0.9134  1 Cu 2.58
Sb  0.7529  0.2500  0.5149  4 Cu 2.64-2.87


Run 4
NaCuSb2 after structural relaxation, computed with PBE.

## Properties
crystal system: trigonal
space-group type: R-3m (166)
total magnetic moment: 0.000 μB per atom

Cell: 4.0230 4.0230 22.1580 Å, 90.00 90.00 120.00°
Last column: nearest neighbours and their distance in Å.
Sites, in units of the cell vectors:
Na  0.0000  0.0000  0.0000  6 Sb 3.36
Na  0.3333  0.6667  0.6667  6 Sb 3.36
Na  0.6667  0.3333  0.3333  6 Sb 3.36
Cu  0.0000  0.0000  0.5000  6 Sb 2.65
Cu  0.3333  0.6667  0.1667  6 Sb 2.65
Cu  0.6667  0.3333  0.8333  6 Sb 2.65
Sb  0.0000  0.0000  0.2241  3 Cu 2.65
Sb  0.0000  0.0000  0.7759  3 Cu 2.65
Sb  0.3333  0.6667  0.4426  3 Cu 2.65
Sb  0.3333  0.6667  0.8907  3 Cu 2.65
Sb  0.6667  0.3333  0.1093  3 Cu 2.65
Sb  0.6667  0.3333  0.5574  3 Cu 2.65


Short version: run 3 is the most stable of them.


Run 1
NaCuSb2 after structural relaxation, computed with PBE.

## Properties
crystal system: trigonal
space-group type: R3m (160)
total magnetic moment: 0.000 μB per atom

Cell: 4.1309 4.1309 20.9254 Å, 90.00 90.00 120.00°
Last column: nearest neighbours and their distance in Å.
Sites, in units of the cell vectors:
Na  0.0000  0.0000  0.0000  6 Sb 3.30-3.33, 1 Cu 3.46
Na  0.3333  0.6667  0.6667  6 Sb 3.30-3.33, 1 Cu 3.45
Na  0.6667  0.3333  0.3333  6 Sb 3.30-3.33, 1 Cu 3.46
Cu  0.0000  0.0000  0.1651  6 Sb 2.66-2.67
Cu  0.3333  0.6667  0.8318  6 Sb 2.66-2.67
Cu  0.6667  0.3333  0.4984  6 Sb 2.66-2.67
Sb  0.0000  0.0000  0.5557  3 Cu 2.67
Sb  0.0000  0.0000  0.7754  3 Cu 2.66
Sb  0.3333  0.6667  0.2224  3 Cu 2.67
Sb  0.3333  0.6667  0.4421  3 Cu 2.66
Sb  0.6667  0.3333  0.1088  3 Cu 2.66
Sb  0.6667  0.3333  0.8891  3 Cu 2.67


Run 2
NaCuSb2 after structural relaxation, computed with PBE.

## Properties
crystal system: cubic
space-group type: Fm-3m (225)
total magnetic moment: 0.000 μB per atom

Cell: 7.0989 7.0989 7.0989 Å, 90.00 90.00 90.00°
Last column: nearest neighbours and their distance in Å.
Sites, in units of the cell vectors:
Na  0.0000  0.0000  0.0000  8 Sb 3.07
Na  0.0000  0.5000  0.5000  8 Sb 3.07
Na  0.5000  0.0000  0.5000  8 Sb 3.07
Na  0.5000  0.5000  0.0000  8 Sb 3.07
Cu  0.0000  0.0000  0.5000  8 Sb 3.07
Cu  0.0000  0.5000  0.0000  8 Sb 3.07
Cu  0.5000  0.0000  0.0000  8 Sb 3.07
Cu  0.5000  0.5000  0.5000  8 Sb 3.07
Sb  0.2500  0.2500  0.2500  4 Na 3.07, 4 Cu 3.07
Sb  0.2500  0.2500  0.7500  4 Na 3.07, 4 Cu 3.07
Sb  0.2500  0.7500  0.2500  4 Na 3.07, 4 Cu 3.07
Sb  0.2500  0.7500  0.7500  4 Na 3.07, 4 Cu 3.07
Sb  0.7500  0.2500  0.2500  4 Na 3.07, 4 Cu 3.07
Sb  0.7500  0.2500  0.7500  4 Na 3.07, 4 Cu 3.07
Sb  0.7500  0.7500  0.2500  4 Na 3.07, 4 Cu 3.07
Sb  0.7500  0.7500  0.7500  4 Cu 3.07, 4 Na 3.07


Short version: run 1 is the most stable of them.


Run 1
Na2CuSb2 after structural relaxation, computed with PBE.

## Properties
crystal system: tetragonal
space-group type: P4/mbm (127)
total magnetic moment: 0.000 μB per atom

Cell: 7.0136 7.0136 5.1467 Å, 90.00 90.00 90.00°
Last column: nearest neighbours and their distance in Å.
Sites, in units of the cell vectors:
Na  0.1657  0.3343  0.0000  6 Sb 3.15-3.40, 1 Na 3.29
Na  0.3343  0.8343  0.0000  6 Sb 3.15-3.40, 1 Na 3.29
Na  0.6657  0.1657  0.0000  6 Sb 3.15-3.40, 1 Na 3.29
Na  0.8343  0.6657  0.0000  6 Sb 3.15-3.40, 1 Na 3.29
Cu  0.0000  0.0000  0.5000  4 Sb 2.67
Cu  0.5000  0.5000  0.5000  4 Sb 2.67
Sb  0.1505  0.6505  0.5000  2 Cu 2.67, 1 Sb 2.98
Sb  0.3495  0.1505  0.5000  2 Cu 2.67, 1 Sb 2.98
Sb  0.6505  0.8495  0.5000  2 Cu 2.67, 1 Sb 2.98
Sb  0.8495  0.3495  0.5000  2 Cu 2.67, 1 Sb 2.98


Run 2
Na2CuSb2 after structural relaxation, computed with PBE.

## Properties
crystal system: monoclinic
space-group type: C2/m (12)
total magnetic moment: 0.000 μB per atom

Cell: 6.1187 6.1187 11.0366 Å, 116.88 116.88 44.18°
Last column: nearest neighbours and their distance in Å.
Sites, in units of the cell vectors:
Na  0.0060  0.0060  0.1757  6 Sb 3.18-3.40, 4 Cu 3.28-3.44
Na  0.1902  0.1902  0.6052  6 Sb 3.24-3.32, 2 Cu 3.48
Na  0.8098  0.8098  0.3948  6 Sb 3.24-3.32, 2 Cu 3.48
Na  0.9940  0.9940  0.8243  6 Sb 3.18-3.40, 4 Cu 3.28-3.44
Cu  0.2795  0.2795  0.1450  4 Sb 2.62-2.75
Cu  0.7205  0.7205  0.8550  4 Sb 2.62-2.75
Sb  0.3525  0.3525  0.9415  3 Cu 2.66-2.75, 1 Sb 2.94
Sb  0.4889  0.4889  0.6235  1 Cu 2.62, 1 Sb 2.86
Sb  0.5111  0.5111  0.3765  1 Cu 2.62, 1 Sb 2.86
Sb  0.6475  0.6475  0.0585  3 Cu 2.66-2.75, 1 Sb 2.94


Short version: run 2 is the most stable of them.